This record from the Alexandria database describes crystalline BeOs2Au at its relaxed geometry. The functional is PBE-GGA.

Cell lengths 4.9613, 4.9613, 4.9613 Å; angles 145.29, 127.63, 64.36 degrees
With the nearest neighbours (Å) after each atom.
Atoms (fractional coordinates):
Au  0.4691  0.4691  0.0000  2 Be 2.37
Os  0.0263  0.0263  0.0000  2 Be 2.39
Os  0.7554  0.2554  0.5000  4 Be 2.64, 6 Os 2.71-2.96, 4 Au 2.82-2.83
Be  0.2491  0.7491  0.5000  2 Au 2.37, 6 Os 2.39-2.64

spin magnetization: 0.0 μB per formula unit
total DFT energy (no corrections): -6.984 eV/atom
DOS(E_F): 2.6 states/eV per cell

---

This record from the Alexandria database describes crystalline BeSn2OsAu at its relaxed geometry. The functional is PBE-GGA.

Cell lengths 4.7850, 4.1592, 4.7850 Å; angles 90.00, 90.00, 90.00 degrees
With the nearest neighbours (Å) after each atom.
Atoms (fractional coordinates):
Be  0.0000  0.0000  0.0000  2 Os 2.08
Sn  0.5000  0.0000  0.0000  2 Be 2.39
Sn  0.0000  0.0000  0.5000  2 Be 2.39
Os  0.0000  0.5000  0.0000  2 Be 2.08
Au  0.5000  0.5000  0.5000  8 Sn 3.17, 4 Os 3.38

spin magnetization: 0.0 μB per formula unit
total DFT energy (no corrections): -4.561 eV/atom
DOS(E_F): 3.9 states/eV per cell

---

This record from the Alexandria database describes crystalline TiBeOs2Au at its relaxed geometry. The functional is PBE-GGA.

Cell lengths 4.9194, 3.9317, 4.9194 Å; angles 90.00, 90.00, 90.00 degrees
With the nearest neighbours (Å) after each atom.
Atoms (fractional coordinates):
Ti  0.5000  0.5000  0.5000  8 Os 3.15, 4 Be 3.48
Be  0.0000  0.5000  0.0000  2 Au 1.97
Au  0.0000  0.0000  0.0000  2 Be 1.97
Os  0.0000  0.0000  0.5000  2 Au 2.46
Os  0.5000  0.0000  0.0000  2 Au 2.46

spin magnetization: 0.8 μB per formula unit
total DFT energy (no corrections): -5.761 eV/atom
DOS(E_F): 4.0 states/eV per cell